i:
! ScAgMo2 PBE relaxed; values from VASP
&SYSTEM
  ibrav = 0, nat = 4, ntyp = 3
/
ATOMIC_SPECIES
Sc 44.96 Sc.upf
Ag 107.87 Ag.upf
Mo 95.94 Mo.upf
CELL_PARAMETERS angstrom
2.8414 0.0000 0.0000
0.0000 4.3351 0.0000
-1.2242 0.0000 5.7371
ATOMIC_POSITIONS angstrom
Sc 0.0000 0.0000 0.0000
Ag 1.3703 2.1675 1.4418
Mo -0.1331 0.0000 3.0824
Mo 0.6240 2.1675 4.2099
! DOS(E_F) in states/eV/atom: 0.854
! Crystal system: monoclinic
! Calculated volume in Å³ per cell: 70.7

=====

ii:
! ScAgMo2 PBE relaxed; values from VASP
&SYSTEM
  ibrav = 0, nat = 4, ntyp = 3
/
ATOMIC_SPECIES
Sc 44.96 Sc.upf
Ag 107.87 Ag.upf
Mo 95.94 Mo.upf
CELL_PARAMETERS angstrom
2.7458 -4.8288 0.0000
2.7458 4.8288 0.0000
-0.8423 0.0000 2.6065
ATOMIC_POSITIONS angstrom
Sc 0.0000 0.0000 0.0000
Ag 2.7458 0.0000 0.0000
Mo 0.9517 2.4144 1.3032
Mo 0.9517 -2.4144 1.3032
! DOS(E_F) in states/eV/atom: 1.268
! Crystal system: monoclinic
! Calculated volume in Å³ per cell: 69.1

=====

iii:
! ScAgMo2 PBE relaxed; values from VASP
&SYSTEM
  ibrav = 0, nat = 8, ntyp = 3
/
ATOMIC_SPECIES
Sc 44.96 Sc.upf
Ag 107.87 Ag.upf
Mo 95.94 Mo.upf
CELL_PARAMETERS angstrom
-3.8163 3.8163 2.6007
3.8163 -3.8163 2.6007
3.8163 3.8163 -2.6007
ATOMIC_POSITIONS angstrom
Sc 0.0000 0.0000 0.0000
Sc 0.0000 3.8163 1.3004
Ag 3.8163 0.0000 1.3004
Ag 0.0000 0.0000 2.6007
Mo 1.9081 2.0627 -0.6502
Mo 5.5698 1.9081 0.6502
Mo 1.9081 1.7536 1.9506
Mo -1.7536 1.9081 3.2509
! DOS(E_F) in states/eV/atom: 0.872
! Crystal system: tetragonal
! Calculated volume in Å³ per cell: 151.5

=====

iv:
! ScAgMo2 PBE relaxed; values from VASP
&SYSTEM
  ibrav = 0, nat = 4, ntyp = 3
/
ATOMIC_SPECIES
Sc 44.96 Sc.upf
Ag 107.87 Ag.upf
Mo 95.94 Mo.upf
CELL_PARAMETERS angstrom
1.4377 0.8300 9.8363
-1.4377 0.8300 9.8363
0.0000 -1.6601 9.8363
ATOMIC_POSITIONS angstrom
Sc 0.0000 0.0000 0.0000
Ag 0.0000 0.0000 14.7544
Mo 0.0000 0.0000 7.3602
Mo 0.0000 0.0000 22.1486
! DOS(E_F) in states/eV/atom: 1.232
! Crystal system: trigonal
! Calculated volume in Å³ per cell: 70.4

=====

What is the least stable structure shown above? It is iii.